PBE La2PmScS6, optimized geometry; VASP energy = -132.93 eV for the cell shown; raw formation energy = -20.761 eV per formula unit; calculated volume = 24.851 Å³ per atom; Fermi-level density of states = 0.000 states/eV/f.u.; symmetry = No. 14
1.0
-3.5818 3.2922 4.6973
2.0679 -4.9553 5.0498
7.8630 5.6701 2.3442
S La Sc Pm
12 4 2 2
direct
0.6925 0.3194 0.5694
0.6390 0.0502 0.2381
0.3610 0.9498 0.7619
0.6706 0.3035 0.9298
0.8294 0.8035 0.5702
0.1706 0.1965 0.4298
0.1390 0.4498 0.7381
0.3294 0.6965 0.0702
0.1925 0.1806 0.0694
0.8075 0.8194 0.9306
0.3075 0.6806 0.4306
0.8610 0.5502 0.2619
0.4642 0.4079 0.2469
0.5358 0.5921 0.7531
0.9642 0.0921 0.7469
0.0358 0.9079 0.2531
0.0000 0.5000 0.5000
0.5000 0.0000 0.0000
0.0000 0.5000 0.0000
0.5000 0.0000 0.5000


PBE LaPm2ScS4, optimized geometry; VASP energy = -53.10 eV for the cell shown; raw formation energy = -15.826 eV per formula unit; calculated volume = 22.482 Å³ per atom; Fermi-level density of states = 4.995 states/eV/f.u.; symmetry = No. 10
1.0
-2.9569 2.5866 0.4119
-3.8390 -4.8876 3.1341
3.6441 3.4027 4.7915
Sc S La Pm
1 4 1 2
direct
0.0000 0.0000 0.0000
0.0000 0.7648 0.2456
0.5000 0.7711 0.7664
0.0000 0.2352 0.7544
0.5000 0.2289 0.2336
0.5000 0.5000 0.0000
0.0000 0.5000 0.5000
0.5000 0.0000 0.5000


PBE LaPmSe2S, optimized geometry; VASP energy = -59.78 eV for the cell shown; raw formation energy = -9.117 eV per formula unit; calculated volume = 28.312 Å³ per atom; Fermi-level density of states = 1.783 states/eV/f.u.; symmetry = No. 129
1.0
-1.3543 0.2513 4.0778
3.0299 -2.8202 1.1800
9.7314 11.5106 2.5225
S Pm Se La
2 2 4 2
direct
0.5000 0.5000 0.5000
0.0000 0.0000 0.5000
0.0000 0.5000 0.3851
0.5000 0.0000 0.6149
0.5000 0.0000 0.3016
0.5000 0.0000 0.9076
0.0000 0.5000 0.0924
0.0000 0.5000 0.6984
0.5000 0.0000 0.1154
0.0000 0.5000 0.8846


PBE La2Pm2Se3S2, optimized geometry; VASP energy = -53.05 eV for the cell shown; raw formation energy = -14.983 eV per formula unit; calculated volume = 27.417 Å³ per atom; Fermi-level density of states = 5.441 states/eV/f.u.; symmetry = No. 139
1.0
-1.9489 -5.3775 -0.9551
5.3895 -2.0578 0.5884
-2.8397 2.8446 7.3825
La Pm S Se
2 2 2 3
direct
0.7849 0.7849 0.5697
0.2151 0.2151 0.4303
0.5000 0.0000 0.0000
0.0000 0.5000 0.0000
0.5967 0.5967 0.1934
0.4033 0.4033 0.8066
0.0000 0.0000 0.0000
0.2500 0.7500 0.5000
0.7500 0.2500 0.5000


PBE La2Pm3SmS6, optimized geometry; VASP energy = -78.56 eV for the cell shown; raw formation energy = -24.973 eV per formula unit; calculated volume = 23.826 Å³ per atom; Fermi-level density of states = 5.607 states/eV/f.u.; symmetry = No. 12
1.0
-5.8177 2.1699 3.3527
0.6411 -6.7434 -1.9773
4.5569 0.0897 5.3719
Pm S Sm La
3 6 1 2
direct
0.1679 0.8321 0.5000
0.5000 0.5000 0.5000
0.8321 0.1679 0.5000
0.2423 0.2423 0.7440
0.0844 0.4127 0.2538
0.5873 0.9156 0.7462
0.4127 0.0844 0.2538
0.7577 0.7577 0.2560
0.9156 0.5873 0.7462
0.0000 0.0000 0.0000
0.6661 0.3339 0.0000
0.3339 0.6661 0.0000


PBE La2PmSm3S6, optimized geometry; VASP energy = -78.43 eV for the cell shown; raw formation energy = -24.898 eV per formula unit; calculated volume = 23.691 Å³ per atom; Fermi-level density of states = 5.999 states/eV/f.u.; symmetry = No. 12
1.0
-1.7966 -3.5378 -0.7876
4.6978 -0.9125 -6.6173
5.6228 -2.0615 6.8223
S La Sm Pm
6 2 3 1
direct
0.9972 0.2502 0.9943
0.0028 0.7498 0.0057
0.3333 0.9239 0.6665
0.6645 0.5891 0.3290
0.3355 0.4109 0.6710
0.6667 0.0761 0.3335
0.1659 0.3322 0.3318
0.8341 0.6678 0.6682
0.5000 0.5000 0.0000
0.1671 0.8337 0.3341
0.8329 0.1663 0.6659
0.5000 0.0000 0.0000


PBE LaPm4SmS8, optimized geometry; VASP energy = -88.81 eV for the cell shown; raw formation energy = -27.142 eV per formula unit; calculated volume = 29.012 Å³ per atom; Fermi-level density of states = 8.860 states/eV/f.u.; symmetry = No. 160
1.0
8.3161 0.0000 0.0000
4.1581 7.2020 0.0000
4.1581 2.4007 6.7816
S Pm La Sm
8 4 1 1
direct
0.2400 0.2400 0.2798
0.2390 0.2390 0.7413
0.7582 0.7582 0.2557
0.2390 0.7806 0.7413
0.7582 0.2279 0.2557
0.7806 0.2390 0.7413
0.7570 0.7570 0.7291
0.2279 0.7582 0.2557
0.5021 0.9993 0.4994
0.9993 0.9993 0.4994
0.9993 0.5021 0.4994
0.6248 0.6248 0.1256
0.3751 0.3751 0.8746
0.9994 0.9994 0.0019


PBE La3Pm4SmS8, optimized geometry; VASP energy = -104.83 eV for the cell shown; raw formation energy = -33.303 eV per formula unit; calculated volume = 23.961 Å³ per atom; Fermi-level density of states = 8.852 states/eV/f.u.; symmetry = No. 166
1.0
8.1567 0.0000 0.0000
0.0000 8.1517 -0.0079
-4.0783 -4.0735 5.7698
S La Pm Sm
8 3 4 1
direct
0.7508 0.2456 0.9947
0.2439 0.2456 0.9947
0.2492 0.7544 0.0053
0.7561 0.7544 0.0053
0.7508 0.2456 0.5017
0.7528 0.7583 0.5056
0.2472 0.2417 0.4944
0.2492 0.7544 0.4983
0.0000 0.5000 0.5000
0.5000 0.5000 0.5000
0.5000 0.5000 0.0000
0.5000 0.0000 0.5000
0.0000 0.0000 0.0000
0.0000 0.0000 0.5000
0.5000 0.0000 0.0000
0.0000 0.5000 0.0000


PBE La3PmSm2S6, optimized geometry; VASP energy = -79.00 eV for the cell shown; raw formation energy = -25.262 eV per formula unit; calculated volume = 24.102 Å³ per atom; Fermi-level density of states = 5.890 states/eV/f.u.; symmetry = No. 12
1.0
7.0757 -0.0070 -0.0020
-3.5422 6.1252 -0.0020
-1.1807 -2.0444 6.6787
Sm La S Pm
2 3 6 1
direct
0.3334 0.6666 0.0000
0.6666 0.3334 0.0000
0.8337 0.1663 0.5000
0.1663 0.8337 0.5000
0.5000 0.5000 0.5000
0.7453 0.7453 0.2400
0.0800 0.4146 0.2403
0.9200 0.5854 0.7597
0.4146 0.0800 0.2403
0.2547 0.2547 0.7600
0.5854 0.9200 0.7597
0.0000 0.0000 0.0000


PBE LaPm4Sm3S8, optimized geometry; VASP energy = -103.78 eV for the cell shown; raw formation energy = -32.674 eV per formula unit; calculated volume = 23.329 Å³ per atom; Fermi-level density of states = 9.144 states/eV/f.u.; symmetry = No. 166
1.0
8.0838 0.0000 0.0000
0.0000 8.0799 -0.0075
-4.0419 -4.0373 5.7183
Sm S Pm La
3 8 4 1
direct
0.5000 0.5000 0.0000
0.0000 0.5000 0.5000
0.5000 0.5000 0.5000
0.2526 0.7508 0.5051
0.7474 0.2492 0.4949
0.7457 0.7508 0.9983
0.2525 0.7508 0.9983
0.7491 0.7475 0.4983
0.2543 0.2492 0.0017
0.7475 0.2492 0.0017
0.2509 0.2525 0.5017
0.0000 0.0000 0.5000
0.5000 0.0000 0.0000
0.0000 0.0000 0.0000
0.5000 0.0000 0.5000
0.0000 0.5000 0.0000


PBE LaPm2Sm3S6, optimized geometry; VASP energy = -78.01 eV for the cell shown; raw formation energy = -24.661 eV per formula unit; calculated volume = 23.327 Å³ per atom; Fermi-level density of states = 5.423 states/eV/f.u.; symmetry = No. 12
1.0
-2.1885 1.4844 6.4879
4.9001 -4.9010 -1.0271
3.7974 5.7347 -1.2907
Pm Sm S La
2 3 6 1
direct
0.6672 0.3328 0.0000
0.3328 0.6672 0.0000
0.8340 0.1660 0.5000
0.1660 0.8340 0.5000
0.5000 0.5000 0.5000
0.7472 0.7472 0.2538
0.5775 0.9146 0.7446
0.9146 0.5775 0.7446
0.4225 0.0854 0.2554
0.2528 0.2528 0.7462
0.0854 0.4225 0.2554
0.0000 0.0000 0.0000


PBE LaPm3Sm2S6, optimized geometry; VASP energy = -78.05 eV for the cell shown; raw formation energy = -24.671 eV per formula unit; calculated volume = 23.399 Å³ per atom; Fermi-level density of states = 5.372 states/eV/f.u.; symmetry = No. 12
1.0
-2.3342 -3.8054 5.4130
6.6048 2.3672 -0.0558
-3.3817 6.0009 1.2456
S Pm Sm La
6 3 2 1
direct
0.9159 0.5774 0.7482
0.5774 0.9159 0.7482
0.4226 0.0841 0.2518
0.2556 0.2556 0.7504
0.7444 0.7444 0.2496
0.0841 0.4226 0.2518
0.8347 0.1653 0.5000
0.5000 0.5000 0.5000
0.1653 0.8347 0.5000
0.3328 0.6672 0.0000
0.6672 0.3328 0.0000
0.0000 0.0000 0.0000